Here is Al2TlVF8 after structural relaxation from Alexandria. Energies are from PBE with a Hubbard U.

Lattice parameters (Å, degrees): 5.6264 5.6264 24.9142 90.00 90.00 120.00
With the nearest neighbours (Å) after each atom.
Space group R-3 (No. 148, hexagonal axes)
One atom of each set of equivalent atoms:
Al1 0.0000 0.0000 0.2418 [6 per cell]  4 F 1.68-1.71
Tl1 0.0000 0.0000 0.0000 [3 per cell]  6 F 3.30
V1 0.0000 0.0000 0.5000 [3 per cell]  6 F 2.12
F1 0.0000 0.0000 0.3093 [6 per cell]  1 Al 1.68
F2 0.0148 0.4480 0.8824 [18 per cell]  1 Al 1.71

Computed properties:
M_tot (μB per formula unit): 3.8
DOS(E_F) (states/eV per cell): 8.36
Electronic total energy (eV for the cell shown): -198.157